First-principles (PBE with a Hubbard U) data for a geometry-optimized KZnFeF6 structure, as listed in the Alexandria database.

- crystal system = monoclinic
- VASP energy (eV per atom) = -4.44
- space group = C2, No. 5
- calculated density (Mg/m³) = 3.2

Lattice parameters (Å, degrees): 5.336 5.313 5.717 90.08 90.04 60.13
Each line ends with the local moment (μB).
Fractional positions:
K 0.000 0.000 0.000  0.00
Zn 0.331 0.334 0.500  0.00
Fe 0.666 0.667 0.500  1.07
F 0.978 0.390 0.309  -0.01
F 0.385 0.977 0.688  -0.02
F 0.638 0.383 0.687  -0.02
F 0.978 0.632 0.691  -0.01
F 0.385 0.638 0.312  -0.01
F 0.638 0.978 0.313  -0.01